VASP calculation (GGA-PBE) on a relaxed YHo2Ir crystal.

a = 6.3183 Å, b = 6.3183 Å, c = 9.0328 Å
α = 90.00°, β = 90.00°, γ = 143.97°
Sites, in units of the cell vectors:
Y  0.0715  0.9285  0.7500
Y  0.9285  0.0715  0.2500
Ho  0.3576  0.6424  0.5659
Ho  0.3576  0.6424  0.9341
Ho  0.6424  0.3576  0.0659
Ho  0.6424  0.3576  0.4341
Ir  0.2516  0.7484  0.2500
Ir  0.7484  0.2516  0.7500

E_form   -12.8 kcal/mol of atoms
Energy above the most stable polymorph in this dataset   0.0338 eV per atom
Symmetry   No. 63

VASP calculation (GGA-PBE) on a relaxed YHoIr4 crystal.

a = 5.3580 Å, b = 5.3580 Å, c = 5.3580 Å
α = 60.00°, β = 60.00°, γ = 60.00°
Sites, in units of the cell vectors:
Y  0.0000  0.0000  0.0000
Ho  0.2500  0.2500  0.2500
Ir  0.1252  0.6249  0.6249
Ir  0.6249  0.1252  0.6249
Ir  0.6249  0.6249  0.1252
Ir  0.6249  0.6249  0.6249

E_form   -18.6 kcal/mol of atoms
Symmetry   No. 216

VASP calculation (GGA-PBE) on a relaxed YHo2Ir crystal.

a = 3.4684 Å, b = 3.4684 Å, c = 8.8076 Å
α = 90.00°, β = 90.00°, γ = 90.00°
Sites, in units of the cell vectors:
Y  0.0000  0.0000  0.0000
Ho  0.5000  0.5000  0.3155
Ho  0.5000  0.5000  0.6845
Ir  0.0000  0.0000  0.5000

E_form   -9.6 kcal/mol of atoms
Energy above the most stable polymorph in this dataset   0.1729 eV per atom
Symmetry   No. 123

E_form of number 3 (YHo2Ir)?
-9.6 kcal/mol of atoms